Li2PaPd | PBE | relaxed

V: 230 Å³/cell
Crystal system: trigonal
Uncorrected energy: -18.47 eV/f.u.
ΔE_f: 12 meV/atom

Unit cell a=2.9432 b=2.9432 c=30.5943 alpha=90.00 beta=90.00 gamma=120.00
Space group R-3m (No. 166, hexagonal axes)
Inequivalent atoms, fractional coordinates:
Li1 0.0000 0.0000 0.1017 (multiplicity 6)
Pa1 0.0000 0.0000 0.0000 (multiplicity 3)
Pd1 0.0000 0.0000 0.5000 (multiplicity 3)



Al3CS | PBE | relaxed

V: 98 Å³/cell
Crystal system: cubic
Uncorrected energy: -16.59 eV/f.u.

Unit cell a=4.609 b=4.609 c=4.609 alpha=90.00 beta=90.00 gamma=90.00
Space group Pm-3m (No. 221)
Inequivalent atoms, fractional coordinates:
Al1 0.000 0.000 0.500 (multiplicity 3)
C1 0.500 0.500 0.500 (multiplicity 1)
S1 0.000 0.000 0.000 (multiplicity 1)



Mg2ZrRe | PBE | relaxed

V: 76 Å³/cell
Crystal system: monoclinic
Uncorrected energy: -23.48 eV/f.u.
ΔE_f: 175 meV/atom

Unit cell a=2.820 b=4.597 c=5.934 alpha=90.00 beta=100.50 gamma=90.00
Space group Pm (No. 6)
Inequivalent atoms, fractional coordinates:
Mg1 0.000 0.000 0.000 (multiplicity 1)
Mg2 0.254 0.500 0.755 (multiplicity 1)
Zr1 0.563 0.000 0.465 (multiplicity 1)
Re1 0.788 0.500 0.244 (multiplicity 1)



KCo3Ru | PBE | relaxed

V: 101 Å³/cell
Crystal system: cubic
Uncorrected energy: -25.31 eV/f.u.
ΔE_f: 1276 meV/atom

Unit cell a=4.657 b=4.657 c=4.657 alpha=90.00 beta=90.00 gamma=90.00
Space group Pm-3m (No. 221)
Inequivalent atoms, fractional coordinates:
K1 0.000 0.000 0.000 (multiplicity 1)
Co1 0.000 0.500 0.500 (multiplicity 3)
Ru1 0.500 0.500 0.500 (multiplicity 1)



PuSc2Hg | PBE | relaxed

V: 294 Å³/cell
Crystal system: trigonal
Uncorrected energy: -27.56 eV/f.u.
ΔE_f: -65 meV/atom

Unit cell a=3.3710 b=3.3710 c=29.8386 alpha=90.00 beta=90.00 gamma=120.00
Space group R3m (No. 160, hexagonal axes)
Inequivalent atoms, fractional coordinates:
Pu1 0.0000 0.0000 0.0000 (multiplicity 3)
Sc1 0.0000 0.0000 0.2449 (multiplicity 3)
Sc2 0.0000 0.0000 0.4222 (multiplicity 3)
Hg1 0.0000 0.0000 0.8337 (multiplicity 3)



Nd2ThPb | PBE | relaxed

V: 392 Å³/cell
Crystal system: trigonal
Uncorrected energy: -20.43 eV/f.u.
ΔE_f: 57 meV/atom

Unit cell a=3.4767 b=3.4767 c=37.4352 alpha=90.00 beta=90.00 gamma=120.00
Space group R-3m (No. 166, hexagonal axes)
Inequivalent atoms, fractional coordinates:
Nd1 0.0000 0.0000 0.0919 (multiplicity 6)
Th1 0.0000 0.0000 0.0000 (multiplicity 3)
Pb1 0.0000 0.0000 0.5000 (multiplicity 3)



Nb2Al2Tl | PBE | relaxed

V: 181 Å³/cell
Crystal system: tetragonal
Uncorrected energy: -29.38 eV/f.u.
ΔE_f: 122 meV/atom

Unit cell a=7.066 b=7.066 c=3.630 alpha=90.00 beta=90.00 gamma=90.00
Space group P4/mbm (No. 127)
Inequivalent atoms, fractional coordinates:
Nb1 0.173 0.327 0.000 (multiplicity 4)
Al1 0.124 0.624 0.500 (multiplicity 4)
Tl1 0.000 0.000 0.500 (multiplicity 2)



RbTc2WAu | PBE | relaxed

V: 153 Å³/cell
Crystal system: tetragonal
Uncorrected energy: -23.69 eV/f.u.
ΔE_f: 2848 meV/atom

Unit cell a=5.121 b=5.121 c=5.852 alpha=90.00 beta=90.00 gamma=90.00
Space group P4/mmm (No. 123)
Inequivalent atoms, fractional coordinates:
Rb1 0.000 0.000 0.000 (multiplicity 1)
Tc1 0.000 0.500 0.500 (multiplicity 2)
W1 0.500 0.500 0.000 (multiplicity 1)
Au1 0.000 0.000 0.500 (multiplicity 1)



ZnMoCl3 | PBE | relaxed

V: 116 Å³/cell
Crystal system: cubic
Uncorrected energy: -17.21 eV/f.u.

Unit cell a=4.878 b=4.878 c=4.878 alpha=90.00 beta=90.00 gamma=90.00
Space group Pm-3m (No. 221)
Inequivalent atoms, fractional coordinates:
Zn1 0.000 0.000 0.000 (multiplicity 1)
Mo1 0.500 0.500 0.500 (multiplicity 1)
Cl1 0.000 0.000 0.500 (multiplicity 3)



KMg2Be2 | PBE | relaxed

V: 200 Å³/cell
Crystal system: tetragonal
Uncorrected energy: -9.06 eV/f.u.
ΔE_f: 535 meV/atom

Unit cell a=8.222 b=8.222 c=2.959 alpha=90.00 beta=90.00 gamma=90.00
Space group P4/mbm (No. 127)
Inequivalent atoms, fractional coordinates:
K1 0.000 0.000 0.000 (multiplicity 2)
Mg1 0.170 0.330 0.500 (multiplicity 4)
Be1 0.103 0.603 0.000 (multiplicity 4)



PmZnNi3 | PBE | relaxed

V: 330 Å³/cell
Crystal system: orthorhombic
Uncorrected energy: -24.72 eV/f.u.
ΔE_f: -270 meV/atom

Unit cell a=4.889 b=8.174 c=8.250 alpha=90.00 beta=90.00 gamma=90.00
Space group Imma (No. 74)
Inequivalent atoms, fractional coordinates:
Pm1 0.000 0.250 0.047 (multiplicity 4)
Zn1 0.000 0.000 0.500 (multiplicity 4)
Ni1 0.000 0.250 0.683 (multiplicity 4)
Ni2 0.250 0.008 0.750 (multiplicity 8)



K3Ge2Br8 | PBE | relaxed

V: 1534 Å³/cell
Crystal system: trigonal
Uncorrected energy: -39.27 eV/f.u.

Unit cell a=8.0754 b=8.0754 c=27.1699 alpha=90.00 beta=90.00 gamma=120.00
Space group R-3m (No. 166, hexagonal axes)
Inequivalent atoms, fractional coordinates:
K1 0.0000 0.0000 0.0000 (multiplicity 3)
K2 0.0000 0.0000 0.2008 (multiplicity 6)
Ge1 0.0000 0.0000 0.4126 (multiplicity 6)
Br1 0.0000 0.0000 0.3209 (multiplicity 6)
Br2 0.0310 0.5155 0.7677 (multiplicity 18)



RbBa2O2 | PBE | relaxed

V: 297 Å³/cell
Crystal system: triclinic
Uncorrected energy: -23.70 eV/f.u.

Unit cell a=7.185 b=7.187 c=7.239 alpha=102.58 beta=102.57 gamma=118.67
Space group P-1 (No. 2)
Inequivalent atoms, fractional coordinates:
Rb1 0.068 0.433 0.250 (multiplicity 2)
Ba1 0.241 0.259 0.750 (multiplicity 2)
Ba2 0.450 0.051 0.250 (multiplicity 2)
O1 0.200 0.895 0.485 (multiplicity 2)
O2 0.394 0.699 0.985 (multiplicity 2)



Cd4In4Hg3 | PBE | relaxed

V: 277 Å³/cell
Crystal system: triclinic
Uncorrected energy: -15.39 eV/f.u.
ΔE_f: 12 meV/atom

Unit cell a=3.356 b=3.356 c=24.645 alpha=88.94 beta=88.94 gamma=88.32
Space group P-1 (No. 2)
Inequivalent atoms, fractional coordinates:
Cd1 0.030 0.032 0.415 (multiplicity 2)
Cd2 0.311 0.310 0.858 (multiplicity 2)
In1 0.230 0.230 0.050 (multiplicity 2)
In2 0.439 0.435 0.677 (multiplicity 2)
Hg1 0.142 0.144 0.228 (multiplicity 2)
Hg2 0.500 0.500 0.500 (multiplicity 1)



Zr2InBr | PBE | relaxed

V: 97 Å³/cell
Crystal system: orthorhombic
Uncorrected energy: -22.54 eV/f.u.

Unit cell a=3.447 b=3.838 c=7.359 alpha=90.00 beta=90.00 gamma=90.00
Space group Pmm2 (No. 25)
Inequivalent atoms, fractional coordinates:
Zr1 0.000 0.000 0.000 (multiplicity 1)
Zr2 0.500 0.500 0.246 (multiplicity 1)
In1 0.500 0.500 0.779 (multiplicity 1)
Br1 0.000 0.000 0.407 (multiplicity 1)



CeMnCrC3 | PBE | relaxed

V: 135 Å³/cell
Crystal system: monoclinic
Uncorrected energy: -52.63 eV/f.u.
ΔE_f: -39 meV/atom

Unit cell a=5.828 b=3.148 c=7.788 alpha=90.00 beta=108.63 gamma=90.00
Space group P2_1/m (No. 11)
Inequivalent atoms, fractional coordinates:
Ce1 0.016 0.250 0.226 (multiplicity 2)
Mn1 0.470 0.750 0.120 (multiplicity 2)
Cr1 0.385 0.750 0.585 (multiplicity 2)
C1 0.224 0.250 0.649 (multiplicity 2)
C2 0.290 0.250 0.013 (multiplicity 2)
C3 0.364 0.750 0.338 (multiplicity 2)



MnAl2Sb | PBE | relaxed

V: 70 Å³/cell
Crystal system: monoclinic
Uncorrected energy: -20.20 eV/f.u.

Unit cell a=3.641 b=3.585 c=5.376 alpha=90.00 beta=92.81 gamma=90.00
Space group P2/m (No. 10)
Inequivalent atoms, fractional coordinates:
Mn1 0.000 0.000 0.000 (multiplicity 1)
Al1 0.488 0.500 0.234 (multiplicity 2)
Sb1 0.000 0.000 0.500 (multiplicity 1)



RbCeB2O6 | PBE | relaxed

V: 658 Å³/cell
Crystal system: monoclinic
Uncorrected energy: -74.52 eV/f.u.

Unit cell a=9.154 b=10.103 c=7.594 alpha=90.00 beta=110.49 gamma=90.00
Space group C2/c (No. 15)
Inequivalent atoms, fractional coordinates:
Rb1 0.000 0.121 0.250 (multiplicity 4)
Ce1 0.000 0.313 0.750 (multiplicity 4)
B1 0.213 0.407 0.203 (multiplicity 8)
O1 0.109 0.332 0.064 (multiplicity 8)
O2 0.144 0.143 0.692 (multiplicity 8)
O3 0.174 0.465 0.733 (multiplicity 8)



Pt3PbO6 | PBE | relaxed

V: 262 Å³/cell
Crystal system: orthorhombic
Uncorrected energy: -57.54 eV/f.u.

Unit cell a=7.354 b=10.437 c=3.409 alpha=90.00 beta=90.00 gamma=90.00
Space group Cmmm (No. 65)
Inequivalent atoms, fractional coordinates:
Pt1 0.000 0.000 0.000 (multiplicity 2)
Pt2 0.250 0.250 0.500 (multiplicity 4)
Pb1 0.000 0.500 0.000 (multiplicity 2)
O1 0.000 0.331 0.500 (multiplicity 4)
O2 0.198 0.134 0.000 (multiplicity 8)



Ga2NiHPt | PBE | relaxed

V: 60 Å³/cell
Crystal system: tetragonal
Uncorrected energy: -22.30 eV/f.u.

Unit cell a=4.313 b=4.313 c=3.229 alpha=90.00 beta=90.00 gamma=90.00
Space group P4/mmm (No. 123)
Inequivalent atoms, fractional coordinates:
Ga1 0.000 0.500 0.000 (multiplicity 2)
Ni1 0.000 0.000 0.500 (multiplicity 1)
H1 0.000 0.000 0.000 (multiplicity 1)
Pt1 0.500 0.500 0.500 (multiplicity 1)